Density functional theory data (PBE-GGA) for crystalline TaCdPt2 at its relaxed geometry.

Cell: 9.7479 2.8701 4.9557 Å, 90.00 99.13 90.00°
With the nearest neighbours (Å) after each atom.
Space group Cm (No. 8)
Asymmetric unit:
1 Ta 0.0000 0.0000 0.0000  7 Pt 2.78-2.91, 2 Ta 2.87, 1 Cd 3.03
2 Cd 0.2619 0.5000 0.3250  7 Pt 2.74-2.88, 2 Cd 2.87, 1 Ta 3.03
3 Pt 0.0120 0.5000 0.5138  3 Cd 2.74-2.86, 4 Ta 2.82-2.91, 4 Pt 2.87-3.00
4 Pt 0.2574 0.0000 0.8271  3 Ta 2.78, 4 Cd 2.85-2.88, 4 Pt 2.87-3.00

Computed properties:
Final energy, eV/atom: -6.6013
Calculated formation energy, eV/atom: -0.39

---

Density functional theory data (PBE-GGA) for crystalline TaCd2Pt at its relaxed geometry.

Cell: 2.9599 2.9599 29.2453 Å, 90.00 90.00 120.00°
With the nearest neighbours (Å) after each atom.
Space group R-3m (No. 166, hexagonal axes)
Asymmetric unit:
1 Ta 0.0000 0.0000 0.0000  6 Ta 2.96, 6 Cd 3.08
2 Cd 0.0000 0.0000 0.2459  3 Pt 2.88, 6 Cd 2.96, 3 Ta 3.08
3 Pt 0.0000 0.0000 0.5000  6 Cd 2.88, 6 Pt 2.96

Computed properties:
Final energy, eV/atom: -4.8228
Calculated formation energy, eV/atom: 0.11
Energy above the most stable polymorph in this dataset, meV/atom: 286.1

---

Density functional theory data (PBE-GGA) for crystalline TaCd4Pt at its relaxed geometry.

Cell: 7.8052 7.8052 7.8052 Å, 90.00 90.00 90.00°
With the nearest neighbours (Å) after each atom.
Space group F-43m (No. 216)
Asymmetric unit:
1 Ta 0.0000 0.0000 0.0000  12 Cd 3.24, 4 Pt 3.38
2 Cd 0.1249 0.1249 0.6249  6 Cd 2.76
3 Pt 0.2500 0.2500 0.2500  12 Cd 3.24, 4 Ta 3.38

Computed properties:
Final energy, eV/atom: -3.0885
Calculated formation energy, eV/atom: 0.50

---

Density functional theory data (PBE-GGA) for crystalline TaCdPt2 at its relaxed geometry.

Cell: 2.8884 2.8884 8.2772 Å, 90.00 90.00 90.00°
With the nearest neighbours (Å) after each atom.
Space group P4mm (No. 99)
Asymmetric unit:
1 Ta 0.0000 0.0000 0.0000  4 Pt 2.76, 4 Ta 2.89
2 Cd 0.5000 0.5000 0.2830  4 Pt 2.87, 4 Cd 2.89, 4 Ta 3.11
3 Pt 0.0000 0.0000 0.5269  4 Cd 2.87, 8 Pt 2.89-2.90
4 Pt 0.5000 0.5000 0.7751  4 Ta 2.76, 8 Pt 2.89-2.90

Computed properties:
Final energy, eV/atom: -6.3914
Calculated formation energy, eV/atom: -0.18